[1]
Density functional theory data (SCAN) for a PBEsol-optimized structure of MgTcCl2.

Cell lengths 9.058, 9.058, 9.058 Å; angles 20.75, 20.75, 20.75 degrees
Atoms (fractional coordinates):
Mg 0.000 0.000 0.000
Tc 0.500 0.500 0.500
Cl 0.110 0.110 0.110
Cl 0.890 0.890 0.890

Output
distance to the lowest polymorph of the same formula	225.1	meV per atom
space group	No. 166
total moment	0.81	μB per cell
energy relative to the elements, uncorrected	-0.15	eV per atom



[2]
Density functional theory data (SCAN) for a PBEsol-optimized structure of YMgTc2Cl.

Cell lengths 4.407, 4.407, 4.851 Å; angles 90.00, 90.00, 90.00 degrees
Atoms (fractional coordinates):
Y 0.000 0.000 0.000
Mg 0.500 0.500 0.000
Tc 0.000 0.500 0.500
Tc 0.500 0.000 0.500
Cl 0.000 0.000 0.500

Output
space group	No. 123
total moment	0.89	μB per cell
energy relative to the elements, uncorrected	0.44	eV per atom



[3]
Density functional theory data (SCAN) for a PBEsol-optimized structure of Mg2TeCl.

Cell lengths 5.103, 5.103, 5.103 Å; angles 60.00, 60.00, 60.00 degrees
Atoms (fractional coordinates):
Mg 0.000 0.000 0.000
Mg 0.250 0.250 0.250
Te 0.750 0.750 0.750
Cl 0.500 0.500 0.500

Output
distance to the lowest polymorph of the same formula	596.8	meV per atom
space group	No. 216
total moment	0.00	μB per cell
energy relative to the elements, uncorrected	-0.25	eV per atom